# 1
10
Lattice="-0.665 -3.555 2.262 4.829 -2.390 1.687 1.813 1.246 6.515" Properties=species:S:1:pos:R:3 comment="PBE Hf2N2O, optimized geometry" m_tot_mub_per_fu=0.00 e_form_raw_ev_per_atom=-2.20 energy_ev_per_atom=-10.50 sg=C2/m pbc="T T T"
N 3.719 -1.364 2.972
Hf 4.166 -4.005 6.996
O 5.231 -3.176 8.613
N 2.258 -3.333 7.491
Hf 2.375 -1.360 6.605
Hf 1.811 -0.692 3.467
N 1.503 -2.339 4.809
O 0.746 -1.522 1.850
N 4.474 -2.359 5.654
Hf 3.602 -3.337 3.859

***

# 2
20
Lattice="5.494 0.000 0.000 0.000 5.816 0.000 0.000 0.650 7.900" Properties=species:S:1:pos:R:3 comment="PBE Hf2N2O, optimized geometry" m_tot_mub_per_fu=0.00 e_form_raw_ev_per_atom=-2.16 energy_ev_per_atom=-10.46 sg=P2/c pbc="T T T"
N 1.063 0.163 1.975
Hf 5.494 4.426 2.817
Hf 0.000 4.751 6.767
O 0.839 2.620 7.099
Hf 0.000 2.039 5.083
O 4.656 3.846 0.801
Hf 5.494 1.714 1.133
N 3.929 3.395 5.925
Hf 2.683 4.683 1.149
N 1.911 1.277 4.740
Hf 2.811 1.782 6.751
O 4.656 2.295 3.149
O 0.839 4.171 4.751
N 3.584 5.189 3.160
N 1.911 5.514 7.109
N 1.565 3.070 1.975
N 4.432 0.488 5.925
Hf 2.811 5.008 5.099
N 3.584 0.952 0.790
Hf 2.683 1.457 2.801